1.
An optimized crystal structure of Tb3Ce2YP6, computed with PBE.

Structure (POSCAR):
```
Tb3Ce2YP6
1.0
3.5009 -6.0634 0.0000
3.5009 6.0634 0.0000
-2.3342 0.0000 6.5979
Tb Ce Y P
3 2 1 6
Direct
0.0000 0.0000 0.0000 Tb
0.3333 0.6667 0.0000 Tb
0.6667 0.3333 0.0000 Tb
0.1666 0.8334 0.5000 Ce
0.8334 0.1666 0.5000 Ce
0.5000 0.5000 0.5000 Y
0.0834 0.4168 0.2503 P
0.2504 0.2504 0.7510 P
0.4168 0.0834 0.2503 P
0.5832 0.9166 0.7497 P
0.7496 0.7496 0.2490 P
0.9166 0.5832 0.7497 P
```

Output
Formation enthalpy at 0 K: -1.58 eV/atom

***

2.
An optimized crystal structure of Mg2NF, computed with PBE.

Structure (POSCAR):
```
Mg2NF
1.0
5.4625 0.0000 0.0000
0.0000 5.4625 0.0000
0.0000 0.0000 5.4625
Mg N F
8 4 4
Direct
0.2500 0.2500 0.2500 Mg
0.2500 0.2500 0.7500 Mg
0.2500 0.7500 0.2500 Mg
0.2500 0.7500 0.7500 Mg
0.7500 0.2500 0.2500 Mg
0.7500 0.2500 0.7500 Mg
0.7500 0.7500 0.2500 Mg
0.7500 0.7500 0.7500 Mg
0.0000 0.0000 0.0000 N
0.0000 0.5000 0.5000 N
0.5000 0.0000 0.5000 N
0.5000 0.5000 0.0000 N
0.0000 0.0000 0.5000 F
0.0000 0.5000 0.0000 F
0.5000 0.0000 0.0000 F
0.5000 0.5000 0.5000 F
```

Output
Raw formation energy: -1253 meV per atom

***

3.
An optimized crystal structure of La4Hg2B, computed with PBE.

Structure (POSCAR):
```
La4Hg2B
1.0
5.2715 0.0000 0.0000
0.0000 5.2715 0.0000
0.0000 0.0000 15.8222
La Hg B
8 4 2
Direct
0.0000 0.0000 0.1741 La
0.0000 0.0000 0.8259 La
0.0000 0.5000 0.0000 La
0.0000 0.5000 0.5000 La
0.5000 0.0000 0.0000 La
0.5000 0.0000 0.5000 La
0.5000 0.5000 0.3259 La
0.5000 0.5000 0.6741 La
0.0000 0.0000 0.3711 Hg
0.0000 0.0000 0.6289 Hg
0.5000 0.5000 0.1289 Hg
0.5000 0.5000 0.8711 Hg
0.0000 0.0000 0.0000 B
0.5000 0.5000 0.5000 B
```

Output
Formation enthalpy at 0 K: -0.19 eV/atom

***

4.
An optimized crystal structure of Na3TeRh, computed with PBE.

Structure (POSCAR):
```
Na3TeRh
1.0
5.7978 0.0000 0.0000
0.0000 5.7978 0.0000
0.0000 0.0000 5.7978
Na Te Rh
3 1 1
Direct
0.0000 0.0000 0.5000 Na
0.0000 0.5000 0.0000 Na
0.5000 0.0000 0.0000 Na
0.0000 0.0000 0.0000 Te
0.5000 0.5000 0.5000 Rh
```

Output
Raw formation energy: 369 meV per atom

***

5.
An optimized crystal structure of Pm12Tl6Ru, computed with PBE.

Structure (POSCAR):
```
Pm12Tl6Ru
1.0
6.2475 3.6070 4.5602
-6.2475 3.6070 4.5602
0.0000 -7.2139 4.5602
Pm Tl Ru
12 6 1
Direct
0.0275 0.6863 0.9157 Pm
0.0843 0.9725 0.3137 Pm
0.2013 0.5453 0.4252 Pm
0.3137 0.0843 0.9725 Pm
0.4252 0.2013 0.5453 Pm
0.4547 0.5748 0.7987 Pm
0.5453 0.4252 0.2013 Pm
0.5748 0.7987 0.4547 Pm
0.6863 0.9157 0.0275 Pm
0.7987 0.4547 0.5748 Pm
0.9157 0.0275 0.6863 Pm
0.9725 0.3137 0.0843 Pm
0.1380 0.3476 0.7295 Tl
0.2705 0.8620 0.6524 Tl
0.3476 0.7295 0.1380 Tl
0.6524 0.2705 0.8620 Tl
0.7295 0.1380 0.3476 Tl
0.8620 0.6524 0.2705 Tl
0.0000 0.0000 0.0000 Ru
```

Output
Formation enthalpy at 0 K: -0.17 eV/atom

***

6.
An optimized crystal structure of SrH4O6, computed with PBE.

Structure (POSCAR):
```
SrH4O6
1.0
4.0578 -3.2269 0.0000
4.0578 3.2269 0.0000
-2.6054 0.0000 9.8430
Sr H O
2 8 12
Direct
0.0716 0.9284 0.5000 Sr
0.9284 0.0716 0.0000 Sr
0.1318 0.7085 0.7469 H
0.2189 0.5544 0.1080 H
0.2311 0.4468 0.9553 H
0.4468 0.2311 0.4553 H
0.5544 0.2189 0.6080 H
0.7085 0.1318 0.2469 H
0.7728 0.8081 0.2090 H
0.8081 0.7728 0.7090 H
0.0111 0.4390 0.4809 O
0.1038 0.5583 0.0179 O
0.1860 0.4439 0.3971 O
0.4390 0.0111 0.9809 O
0.4439 0.1860 0.8971 O
0.4546 0.5329 0.7268 O
0.5047 0.7045 0.6576 O
0.5329 0.4546 0.2268 O
0.5583 0.1038 0.5179 O
0.7045 0.5047 0.1576 O
0.8571 0.9707 0.2459 O
0.9707 0.8571 0.7459 O
```

Output
DFT total energy: -5.099 eV per atom